Entry 1:
! PBE-GGA Ca2AcDyAg4, relaxed; values from VASP
! - ΔH_f (0 K) (eV per atom) = -0.2892
! - calculated density (kg/m³) = 7070
! - SG = R-3m
! - E (hartree per atom) = -0.121
&SYSTEM
  ibrav = 0, nat = 8, ntyp = 4
/
ATOMIC_SPECIES
Ca 40.08 Ca.upf
Ag 107.87 Ag.upf
Ac 227.00 Ac.upf
Dy 162.50 Dy.upf
CELL_PARAMETERS angstrom
5.278 0.000 0.000
2.639 4.571 0.000
2.639 1.524 8.771
ATOMIC_POSITIONS crystal
Ca 0.753 0.753 0.740
Ag 0.383 0.383 0.851
Ag 0.128 0.128 0.615
Ac 0.000 0.000 0.000
Ag 0.617 0.617 0.149
Ag 0.872 0.872 0.385
Dy 0.500 0.500 0.500
Ca 0.247 0.247 0.260

Entry 2:
! PBE-GGA CaAc2Ag3Ge4, relaxed; values from VASP
! - ΔH_f (0 K) (eV per atom) = -0.4370
! - calculated density (kg/m³) = 7588
! - SG = P-4m2
! - E (hartree per atom) = -0.153
&SYSTEM
  ibrav = 0, nat = 10, ntyp = 4
/
ATOMIC_SPECIES
Ca 40.08 Ca.upf
Ge 72.64 Ge.upf
Ac 227.00 Ac.upf
Ag 107.87 Ag.upf
CELL_PARAMETERS angstrom
4.576 0.000 0.000
0.000 4.576 0.000
0.000 0.000 11.581
ATOMIC_POSITIONS crystal
Ca 0.500 0.500 0.500
Ge 0.500 0.000 0.655
Ac 0.500 0.000 0.231
Ge 0.500 0.500 0.000
Ac 0.000 0.500 0.769
Ag 0.500 0.000 0.879
Ag 0.000 0.500 0.121
Ge 0.000 0.500 0.345
Ag 0.000 0.000 0.500
Ge 0.000 0.000 0.000

Entry 3:
! PBE-GGA CaAcAgHg, relaxed; values from VASP
! - ΔH_f (0 K) (eV per atom) = -0.4081
! - calculated density (kg/m³) = 8086
! - SG = F-43m
! - E (hartree per atom) = -0.100
&SYSTEM
  ibrav = 0, nat = 4, ntyp = 4
/
ATOMIC_SPECIES
Ag 107.87 Ag.upf
Hg 200.59 Hg.upf
Ac 227.00 Ac.upf
Ca 40.08 Ca.upf
CELL_PARAMETERS angstrom
5.508 0.000 0.000
2.754 4.770 0.000
2.754 1.590 4.498
ATOMIC_POSITIONS crystal
Ag 0.250 0.250 0.250
Hg 0.750 0.750 0.750
Ac 0.000 0.000 0.000
Ca 0.500 0.500 0.500

Entry 4:
! PBE-GGA Ca2Ac3Ag2Hg4, relaxed; values from VASP
! - ΔH_f (0 K) (eV per atom) = -0.3518
! - calculated density (kg/m³) = 8581
! - SG = P-3m1
! - E (hartree per atom) = -0.091
&SYSTEM
  ibrav = 0, nat = 11, ntyp = 4
/
ATOMIC_SPECIES
Ag 107.87 Ag.upf
Hg 200.59 Hg.upf
Ac 227.00 Ac.upf
Ca 40.08 Ca.upf
CELL_PARAMETERS angstrom
5.083 0.000 0.000
-2.541 4.402 0.000
0.000 0.000 15.389
ATOMIC_POSITIONS crystal
Ag 0.667 0.333 0.871
Hg 0.333 0.667 0.356
Ac 0.000 0.000 0.755
Hg 0.667 0.333 0.644
Hg 0.333 0.667 0.876
Ca 0.667 0.333 0.428
Ac 0.000 0.000 0.245
Ag 0.333 0.667 0.129
Ca 0.333 0.667 0.572
Hg 0.667 0.333 0.124
Ac 0.000 0.000 0.000

Entry 5:
! PBE-GGA CaAcAg2Hg2, relaxed; values from VASP
! - ΔH_f (0 K) (eV per atom) = -0.3913
! - calculated density (kg/m³) = 9236
! - SG = P-3m1
! - E (hartree per atom) = -0.090
&SYSTEM
  ibrav = 0, nat = 6, ntyp = 4
/
ATOMIC_SPECIES
Ca 40.08 Ca.upf
Hg 200.59 Hg.upf
Ac 227.00 Ac.upf
Ag 107.87 Ag.upf
CELL_PARAMETERS angstrom
-3.633 2.691 2.014
-1.093 -3.954 -2.770
0.180 -4.330 6.110
ATOMIC_POSITIONS crystal
Ca 0.000 0.000 0.500
Hg 0.333 0.667 0.273
Ac 0.000 0.000 0.000
Hg 0.667 0.333 0.727
Ag 0.333 0.667 0.728
Ag 0.667 0.333 0.272

Entry 6:
! PBE-GGA CaAc2Ag3Hg12, relaxed; values from VASP
! - ΔH_f (0 K) (eV per atom) = -0.0955
! - calculated density (kg/m³) = 10430
! - SG = R-3m
! - E (hartree per atom) = -0.049
&SYSTEM
  ibrav = 0, nat = 18, ntyp = 4
/
ATOMIC_SPECIES
Ac 227.00 Ac.upf
Hg 200.59 Hg.upf
Ag 107.87 Ag.upf
Ca 40.08 Ca.upf
CELL_PARAMETERS angstrom
-5.891 9.681 5.545
-10.328 4.219 5.892
-5.053 4.773 10.530
ATOMIC_POSITIONS crystal
Ac 0.635 0.635 0.635
Hg 0.594 0.594 0.161
Hg 0.872 0.872 0.421
Ag 0.000 0.500 0.000
Hg 0.128 0.128 0.579
Hg 0.406 0.839 0.406
Hg 0.421 0.872 0.872
Ca 0.000 0.000 0.000
Hg 0.872 0.421 0.872
Hg 0.594 0.161 0.594
Ag 0.000 0.000 0.500
Hg 0.839 0.406 0.406
Hg 0.128 0.579 0.128
Hg 0.161 0.594 0.594
Hg 0.406 0.406 0.839
Hg 0.579 0.128 0.128
Ag 0.500 0.000 0.000
Ac 0.365 0.365 0.365

Entry 7:
! PBE-GGA CaAc2In4Ag3, relaxed; values from VASP
! - ΔH_f (0 K) (eV per atom) = -0.3225
! - calculated density (kg/m³) = 7595
! - SG = P-4m2
! - E (hartree per atom) = -0.121
&SYSTEM
  ibrav = 0, nat = 10, ntyp = 4
/
ATOMIC_SPECIES
In 114.82 In.upf
Ac 227.00 Ac.upf
Ag 107.87 Ag.upf
Ca 40.08 Ca.upf
CELL_PARAMETERS angstrom
4.621 0.000 0.000
0.000 4.621 0.000
0.000 0.000 13.074
ATOMIC_POSITIONS crystal
In 0.000 0.500 0.342
Ac 0.500 0.000 0.225
Ag 0.000 0.500 0.131
Ca 0.500 0.500 0.500
Ac 0.000 0.500 0.775
In 0.500 0.000 0.658
In 0.000 0.000 0.000
Ag 0.500 0.000 0.869
In 0.500 0.500 0.000
Ag 0.000 0.000 0.500

Entry 8:
! PBE-GGA CaAcAgIr, relaxed; values from VASP
! - ΔH_f (0 K) (eV per atom) = -0.3342
! - calculated density (kg/m³) = 9367
! - SG = F-43m
! - E (hartree per atom) = -0.176
&SYSTEM
  ibrav = 0, nat = 4, ntyp = 4
/
ATOMIC_SPECIES
Ag 107.87 Ag.upf
Ac 227.00 Ac.upf
Ir 192.22 Ir.upf
Ca 40.08 Ca.upf
CELL_PARAMETERS angstrom
5.220 0.000 0.000
2.610 4.520 0.000
2.610 1.507 4.262
ATOMIC_POSITIONS crystal
Ag 0.250 0.250 0.250
Ac 0.000 0.000 0.000
Ir 0.750 0.750 0.750
Ca 0.500 0.500 0.500

Entry 9:
! PBE-GGA Ca2AcLaAg4, relaxed; values from VASP
! - ΔH_f (0 K) (eV per atom) = -0.3030
! - calculated density (kg/m³) = 6596
! - SG = R-3m
! - E (hartree per atom) = -0.123
&SYSTEM
  ibrav = 0, nat = 8, ntyp = 4
/
ATOMIC_SPECIES
Ca 40.08 Ca.upf
La 138.91 La.upf
Ag 107.87 Ag.upf
Ac 227.00 Ac.upf
CELL_PARAMETERS angstrom
5.379 0.000 0.000
2.690 4.659 0.000
2.690 1.553 8.815
ATOMIC_POSITIONS crystal
Ca 0.751 0.751 0.746
La 0.500 0.500 0.500
Ag 0.127 0.127 0.620
Ca 0.249 0.249 0.254
Ag 0.378 0.378 0.867
Ag 0.873 0.873 0.380
Ac 0.000 0.000 0.000
Ag 0.622 0.622 0.133

Entry 10:
! PBE-GGA Li2CaAcAg4, relaxed; values from VASP
! - ΔH_f (0 K) (eV per atom) = -0.2412
! - calculated density (kg/m³) = 6169
! - SG = R-3m
! - E (hartree per atom) = -0.107
&SYSTEM
  ibrav = 0, nat = 8, ntyp = 4
/
ATOMIC_SPECIES
Ag 107.87 Ag.upf
Li 6.94 Li.upf
Ca 40.08 Ca.upf
Ac 227.00 Ac.upf
CELL_PARAMETERS angstrom
4.653 0.000 0.000
2.327 4.030 0.000
2.327 1.343 10.228
ATOMIC_POSITIONS crystal
Ag 0.399 0.399 0.802
Ag 0.601 0.601 0.198
Ag 0.108 0.108 0.676
Li 0.757 0.757 0.730
Ca 0.500 0.500 0.500
Li 0.243 0.243 0.270
Ac 0.000 0.000 0.000
Ag 0.892 0.892 0.324

Entry 11:
! PBE-GGA Li2Ca2Ac3Ag4, relaxed; values from VASP
! - ΔH_f (0 K) (eV per atom) = -0.1522
! - calculated density (kg/m³) = 6052
! - SG = P-3m1
! - E (hartree per atom) = -0.111
&SYSTEM
  ibrav = 0, nat = 11, ntyp = 4
/
ATOMIC_SPECIES
Ag 107.87 Ag.upf
Li 6.94 Li.upf
Ac 227.00 Ac.upf
Ca 40.08 Ca.upf
CELL_PARAMETERS angstrom
4.912 0.000 0.000
-2.456 4.254 0.000
0.000 0.000 15.845
ATOMIC_POSITIONS crystal
Ag 0.333 0.667 0.876
Ag 0.667 0.333 0.644
Li 0.333 0.667 0.129
Ac 0.000 0.000 0.752
Ca 0.667 0.333 0.428
Li 0.667 0.333 0.871
Ag 0.667 0.333 0.124
Ca 0.333 0.667 0.572
Ag 0.333 0.667 0.356
Ac 0.000 0.000 0.000
Ac 0.000 0.000 0.248

Entry 12:
! PBE-GGA LiCaAcAg, relaxed; values from VASP
! - ΔH_f (0 K) (eV per atom) = -0.1155
! - calculated density (kg/m³) = 5377
! - SG = F-43m
! - E (hartree per atom) = -0.104
&SYSTEM
  ibrav = 0, nat = 4, ntyp = 4
/
ATOMIC_SPECIES
Li 6.94 Li.upf
Ac 227.00 Ac.upf
Ca 40.08 Ca.upf
Ag 107.87 Ag.upf
CELL_PARAMETERS angstrom
5.504 0.000 0.000
2.752 4.767 0.000
2.752 1.589 4.494
ATOMIC_POSITIONS crystal
Li 0.750 0.750 0.750
Ac 0.000 0.000 0.000
Ca 0.500 0.500 0.500
Ag 0.250 0.250 0.250

Entry 13:
! PBE-GGA Li2CaAcAg2, relaxed; values from VASP
! - ΔH_f (0 K) (eV per atom) = -0.1748
! - calculated density (kg/m³) = 5376
! - SG = P-3m1
! - E (hartree per atom) = -0.102
&SYSTEM
  ibrav = 0, nat = 6, ntyp = 4
/
ATOMIC_SPECIES
Ac 227.00 Ac.upf
Li 6.94 Li.upf
Ca 40.08 Ca.upf
Ag 107.87 Ag.upf
CELL_PARAMETERS angstrom
-4.717 0.655 -0.384
1.986 -0.602 4.304
1.015 7.670 0.604
ATOMIC_POSITIONS crystal
Ac 0.000 0.000 0.000
Li 0.667 0.333 0.701
Ca 0.000 0.000 0.500
Li 0.333 0.667 0.299
Ag 0.667 0.333 0.273
Ag 0.333 0.667 0.727

Entry 14:
! PBE-GGA LiCaAcAg, relaxed; values from VASP
! - ΔH_f (0 K) (eV per atom) = -0.1279
! - calculated density (kg/m³) = 5117
! - SG = Amm2
! - E (hartree per atom) = -0.105
&SYSTEM
  ibrav = 0, nat = 4, ntyp = 4
/
ATOMIC_SPECIES
Ag 107.87 Ag.upf
Ca 40.08 Ca.upf
Li 6.94 Li.upf
Ac 227.00 Ac.upf
CELL_PARAMETERS angstrom
-0.066 4.273 -0.206
-2.460 0.147 3.832
5.383 -1.889 3.528
ATOMIC_POSITIONS crystal
Ag 0.440 0.000 0.880
Ca 0.141 0.000 0.282
Li 0.567 0.500 0.134
Ac 0.852 0.500 0.704

Entry 15:
! PBE-GGA CaAc2Mg12Ag3, relaxed; values from VASP
! - ΔH_f (0 K) (eV per atom) = 0.1764
! - calculated density (kg/m³) = 3450
! - SG = R-3m
! - E (hartree per atom) = -0.071
&SYSTEM
  ibrav = 0, nat = 18, ntyp = 4
/
ATOMIC_SPECIES
Mg 24.30 Mg.upf
Ag 107.87 Ag.upf
Ac 227.00 Ac.upf
Ca 40.08 Ca.upf
CELL_PARAMETERS angstrom
-7.724 2.072 -4.307
-6.750 -6.071 -0.296
-7.572 1.459 4.800
ATOMIC_POSITIONS crystal
Mg 0.835 0.835 0.463
Mg 0.537 0.165 0.165
Mg 0.134 0.754 0.754
Mg 0.165 0.537 0.165
Mg 0.165 0.165 0.537
Ag 0.500 0.000 0.000
Mg 0.246 0.246 0.866
Ac 0.583 0.583 0.583
Mg 0.754 0.754 0.134
Mg 0.835 0.463 0.835
Ca 0.000 0.000 0.000
Mg 0.463 0.835 0.835
Mg 0.246 0.866 0.246
Ag 0.000 0.000 0.500
Ac 0.417 0.417 0.417
Ag 0.000 0.500 0.000
Mg 0.866 0.246 0.246
Mg 0.754 0.134 0.754

Entry 16:
! PBE-GGA CaAcMg2Ag4, relaxed; values from VASP
! - ΔH_f (0 K) (eV per atom) = -0.2649
! - calculated density (kg/m³) = 6254
! - SG = R-3m
! - E (hartree per atom) = -0.105
&SYSTEM
  ibrav = 0, nat = 8, ntyp = 4
/
ATOMIC_SPECIES
Ag 107.87 Ag.upf
Ca 40.08 Ca.upf
Mg 24.30 Mg.upf
Ac 227.00 Ac.upf
CELL_PARAMETERS angstrom
4.816 0.000 0.000
2.408 4.171 0.000
2.408 1.390 9.877
ATOMIC_POSITIONS crystal
Ag 0.111 0.111 0.667
Ca 0.500 0.500 0.500
Ag 0.398 0.398 0.805
Mg 0.756 0.756 0.731
Ac 0.000 0.000 0.000
Ag 0.602 0.602 0.195
Mg 0.244 0.244 0.269
Ag 0.889 0.889 0.333

Entry 17:
! PBE-GGA CaAc2AgN, relaxed; values from VASP
! - calculated density (kg/m³) = 7322
! - SG = P4/mmm
! - E (hartree per atom) = -0.176
&SYSTEM
  ibrav = 0, nat = 5, ntyp = 4
/
ATOMIC_SPECIES
N 14.01 N.upf
Ca 40.08 Ca.upf
Ac 227.00 Ac.upf
Ag 107.87 Ag.upf
CELL_PARAMETERS angstrom
5.368 0.000 0.000
0.000 5.368 0.000
0.000 0.000 4.848
ATOMIC_POSITIONS crystal
N 0.000 0.000 0.000
Ca 0.000 0.000 0.500
Ac 0.000 0.500 0.000
Ac 0.500 0.000 0.000
Ag 0.500 0.500 0.500

Entry 18:
! PBE-GGA CaAc2Nd2Ag5, relaxed; values from VASP
! - ΔH_f (0 K) (eV per atom) = -0.1226
! - calculated density (kg/m³) = 7641
! - SG = P4/mbm
! - E (hartree per atom) = -0.129
&SYSTEM
  ibrav = 0, nat = 20, ntyp = 4
/
ATOMIC_SPECIES
Ag 107.87 Ag.upf
Ac 227.00 Ac.upf
Nd 144.24 Nd.upf
Ca 40.08 Ca.upf
CELL_PARAMETERS angstrom
4.181 0.000 0.000
0.000 11.723 0.000
0.000 0.000 11.723
ATOMIC_POSITIONS crystal
Ag 0.500 0.581 0.680
Ac 0.000 0.329 0.829
Nd 0.000 0.370 0.130
Ag 0.500 0.820 0.919
Nd 0.000 0.130 0.630
Ag 0.500 0.320 0.581
Ac 0.000 0.829 0.671
Ag 0.500 0.081 0.820
Ca 0.000 0.000 0.000
Ca 0.000 0.500 0.500
Ag 0.500 0.419 0.320
Ag 0.500 0.000 0.500
Ac 0.000 0.171 0.329
Nd 0.000 0.630 0.870
Ag 0.500 0.180 0.081
Ac 0.000 0.671 0.171
Nd 0.000 0.870 0.370
Ag 0.500 0.500 0.000
Ag 0.500 0.680 0.419
Ag 0.500 0.919 0.180

Entry 19:
! PBE-GGA CaAcNiAg, relaxed; values from VASP
! - ΔH_f (0 K) (eV per atom) = -0.1413
! - calculated density (kg/m³) = 6949
! - SG = F-43m
! - E (hartree per atom) = -0.141
&SYSTEM
  ibrav = 0, nat = 4, ntyp = 4
/
ATOMIC_SPECIES
Ag 107.87 Ag.upf
Ca 40.08 Ca.upf
Ni 58.69 Ni.upf
Ac 227.00 Ac.upf
CELL_PARAMETERS angstrom
5.272 0.000 0.000
2.636 4.566 0.000
2.636 1.522 4.305
ATOMIC_POSITIONS crystal
Ag 0.250 0.250 0.250
Ca 0.500 0.500 0.500
Ni 0.750 0.750 0.750
Ac 0.000 0.000 0.000

Entry 20:
! PBE-GGA CaAcNiAg, relaxed; values from VASP
! - ΔH_f (0 K) (eV per atom) = -0.2403
! - calculated density (kg/m³) = 6733
! - SG = Amm2
! - E (hartree per atom) = -0.144
&SYSTEM
  ibrav = 0, nat = 4, ntyp = 4
/
ATOMIC_SPECIES
Ca 40.08 Ca.upf
Ac 227.00 Ac.upf
Ni 58.69 Ni.upf
Ag 107.87 Ag.upf
CELL_PARAMETERS angstrom
4.205 0.000 0.000
0.000 4.305 0.000
-2.102 0.000 5.909
ATOMIC_POSITIONS crystal
Ca 0.142 0.000 0.285
Ac 0.863 0.500 0.727
Ni 0.421 0.000 0.843
Ag 0.573 0.500 0.146